Below is crystalline LiGa2Se at its relaxed geometry, with properties calculated at the PBE level.

Calculated values
The crystal system is tetragonal. Its calculated total energy is -3.22 eV per atom. The volume comes out at 20.66 A^3/atom. As for the total magnetic moment: 0.0 μB/f.u. As for the uncorrected formation energy: -1.43 eV/f.u.

```
data_LiGa2Se
_symmetry_space_group_name_H-M 'I -4 2 d'
_symmetry_Int_Tables_number 122
_symmetry_space_group_name_Hall 'I -4 2bw'
_cell_length_a 7.815
_cell_length_b 7.815
_cell_length_c 5.412
_cell_angle_alpha 90.00
_cell_angle_beta 90.00
_cell_angle_gamma 90.00
loop_
_atom_site_label
_atom_site_fract_x
_atom_site_fract_y
_atom_site_fract_z
_atom_site_occupancy
Li1 0.000 0.000 0.000 1
Ga1 0.230 0.250 0.625 1
Se1 0.000 0.000 0.500 1
```